[1]
CsFe2P2 | SCAN | PBEsol geometry

a b c (Å): 3.763 3.763 7.421
angles (deg): 104.69 104.69 90.00
Each line ends with the local moment (μB).
Fractional coordinates of all 5 atoms:
Fe 0.750 0.250 0.500  0.40
Fe 0.250 0.750 0.500  0.40
Cs 0.000 0.000 0.000  0.00
P 0.327 0.327 0.654  -0.01
P 0.673 0.673 0.346  -0.01

Calculated values
calculated total energy	-19.41	eV per atom

***

[2]
NbTcPd3 | SCAN | PBEsol geometry

a b c (Å): 4.692 4.692 4.692
angles (deg): 90.00 90.00 90.00
Each line ends with the local moment (μB).
Fractional coordinates of all 5 atoms:
Tc 0.500 0.500 0.500  3.74
Pd 0.500 0.000 0.000  -0.09
Pd 0.000 0.000 0.500  -0.09
Pd 0.000 0.500 0.000  -0.09
Nb 0.000 0.000 0.000  -0.23

Calculated values
calculated total energy	-31.91	eV per atom